Ti2Nb2Sb3O14: single point on PBEsol structure, SCAN.

Results
- formation energy from raw total energies (eV/atom) = -2.34
- symmetry = C2/c, No. 15
- raw total energy (eV/atom) = -16.503
- magnetization (μB per cell) = 0.00
- DOS at the Fermi energy (states/eV per cell) = 3.8

Cell: 4.8161 5.5321 19.9070 Å, 88.38 96.95 90.00°
Fractional coordinates of all 42 atoms:
Sb: 0.8756 0.3381 0.3054
Sb: 0.1244 0.6619 0.6946
Sb: 0.8049 0.2500 0.0000
Sb: 0.5702 0.1619 0.6946
Sb: 0.1951 0.7500 0.0000
Sb: 0.4298 0.8381 0.3054
O: 0.2129 0.9140 0.4010
O: 0.0745 0.0756 0.9482
O: 0.3942 0.8624 0.6467
O: 0.7475 0.6376 0.3533
O: 0.8694 0.8636 0.8280
O: 0.9586 0.3636 0.8280
O: 0.7150 0.8764 0.4775
O: 0.8737 0.5756 0.9482
O: 0.4808 0.7300 0.1044
O: 0.1306 0.1364 0.1720
O: 0.1881 0.4140 0.4010
O: 0.8119 0.5860 0.5990
O: 0.9255 0.9244 0.0518
O: 0.0414 0.6364 0.1720
O: 0.5192 0.2700 0.8956
O: 0.1263 0.4244 0.0518
O: 0.6058 0.1376 0.3533
O: 0.6236 0.2300 0.1044
O: 0.2375 0.6236 0.5225
O: 0.7625 0.3764 0.4775
O: 0.5449 0.4723 0.2365
O: 0.2850 0.1236 0.5225
O: 0.3764 0.7700 0.8956
O: 0.3083 0.0277 0.7635
O: 0.2525 0.3624 0.6467
O: 0.4551 0.5277 0.7635
O: 0.6917 0.9723 0.2365
O: 0.7871 0.0860 0.5990
Nb: 0.3463 0.4005 0.1506
Nb: 0.8043 0.9005 0.1506
Nb: 0.1957 0.0995 0.8494
Nb: 0.6537 0.5995 0.8494
Ti: 0.5565 0.8059 0.5582
Ti: 0.9983 0.6941 0.4418
Ti: 0.4435 0.1941 0.4418
Ti: 0.0017 0.3059 0.5582


TaBe2NiH: single point on PBEsol structure, SCAN.

Results
- symmetry = P4/mmm, No. 123
- raw total energy (eV/atom) = -18.057
- magnetization (μB per cell) = 0.00
- DOS at the Fermi energy (states/eV per cell) = 1.7

Cell: 3.8171 3.8171 4.5688 Å, 90.00 90.00 90.00°
Fractional coordinates of all 5 atoms:
Ta: 0.0000 0.0000 0.5000
Be: 0.0000 0.5000 0.0000
Be: 0.5000 0.0000 0.0000
H: 0.5000 0.5000 0.5000
Ni: 0.0000 0.0000 0.0000


Ba3TiPt: single point on PBEsol structure, SCAN.

Results
- symmetry = Pm-3m, No. 221
- formation enthalpy at 0 K (eV/atom) = 0.027
- raw total energy (eV/atom) = -40.948
- magnetization (μB per cell) = 3.42
- DOS at the Fermi energy (states/eV per cell) = 4.6

Cell: 6.0486 6.0486 6.0486 Å, 90.00 90.00 90.00°
Fractional coordinates of all 5 atoms:
Pt: 0.0000 0.0000 0.0000
Ti: 0.5000 0.5000 0.5000
Ba: 0.5000 0.0000 0.0000
Ba: 0.0000 0.5000 0.0000
Ba: 0.0000 0.0000 0.5000


KInAg4: single point on PBEsol structure, SCAN.

Results
- symmetry = F-43m, No. 216
- formation enthalpy at 0 K (eV/atom) = 0.030
- raw total energy (eV/atom) = -27.833
- magnetization (μB per cell) = 0.00
- DOS at the Fermi energy (states/eV per cell) = 2.8

Cell: 5.6016 5.6016 5.6016 Å, 60.00 60.00 60.00°
Fractional coordinates of all 6 atoms:
Ag: 0.3755 0.3755 0.8736
Ag: 0.3755 0.8736 0.3755
Ag: 0.3755 0.3755 0.3755
Ag: 0.8736 0.3755 0.3755
In: 0.7500 0.7500 0.7500
K: 0.0000 0.0000 0.0000


ZrCoSb2: single point on PBEsol structure, SCAN.

Results
- formation energy from raw total energies (eV/atom) = 0.02
- symmetry = I-4m2, No. 119
- raw total energy (eV/atom) = -30.615
- magnetization (μB per cell) = 0.00
- DOS at the Fermi energy (states/eV per cell) = 3.3

Cell: 3.9815 3.9815 5.5361 Å, 111.08 111.08 90.00°
Fractional coordinates of all 4 atoms:
Sb: 0.7500 0.2500 0.5000
Sb: 0.0000 0.0000 0.0000
Co: 0.2500 0.7500 0.5000
Zr: 0.5000 0.5000 0.0000


BeAsOs2: single point on PBEsol structure, SCAN.

Results
- symmetry = Immm, No. 71
- offset from the most stable computed form (meV/atom) = 37
- formation enthalpy at 0 K (eV/atom) = 0.333
- raw total energy (eV/atom) = -41.743
- magnetization (μB per cell) = 0.00
- DOS at the Fermi energy (states/eV per cell) = 2.3

Cell: 2.8899 4.5833 4.7837 Å, 118.62 107.58 90.00°
Fractional coordinates of all 4 atoms:
Be: 0.0000 0.5000 0.0000
Os: 0.7193 0.7193 0.4386
Os: 0.2807 0.2807 0.5614
As: 0.5000 0.0000 0.0000


ReSb2Pb: single point on PBEsol structure, SCAN.

Results
- formation energy from raw total energies (eV/atom) = 0.46
- symmetry = Imm2, No. 44
- raw total energy (eV/atom) = -54.894
- magnetization (μB per cell) = 0.00
- DOS at the Fermi energy (states/eV per cell) = 1.8

Cell: 3.2486 4.0127 8.0500 Å, 104.43 101.64 90.00°
Fractional coordinates of all 4 atoms:
Pb: 0.5692 0.5692 0.1384
Re: 0.2837 0.7837 0.5674
Sb: 0.7262 0.2262 0.4523
Sb: 0.9210 0.9210 0.8419


La2AlBr: single point on PBEsol structure, SCAN.

Results
- formation energy from raw total energies (eV/atom) = -0.94
- symmetry = Pmmm, No. 47
- offset from the most stable computed form (meV/atom) = 0
- raw total energy (eV/atom) = -29.298
- magnetization (μB per cell) = 0.00
- DOS at the Fermi energy (states/eV per cell) = 1.9

Cell: 3.8291 4.8645 6.1371 Å, 90.00 90.00 90.00°
Fractional coordinates of all 4 atoms:
Br: 0.5000 0.5000 0.5000
Al: 0.0000 0.0000 0.0000
La: 0.5000 0.5000 0.0000
La: 0.0000 0.0000 0.5000